1.
Below is a PBEsol-optimized structure of MnAlRe2, with properties calculated at the meta-GGA SCAN level.

The structure belongs to space group Cmmm (No. 65); the cell edges are 5.158, 7.755 and 2.722 Å and the angles 90.00°, 90.00° and 90.00°. Symmetry generates all atoms from Mn at (0.000, 0.000, 0.000), Al at (0.000, 0.500, 0.000) and Re at (0.250, 0.250, 0.500).

The calculation puts the formation energy at -53.4 meV per atom. The size of the total moment comes out at 5.394 μB per cell. Its density is 13.9 g/cm³.

---

2.
Below is a PBEsol-optimized structure of ZnPI2, with properties calculated at the meta-GGA SCAN level.

The structure belongs to space group Fm-3m (No. 225); the cell edges are 7.183, 7.183 and 7.183 Å and the angles 90.00°, 90.00° and 90.00°. Symmetry generates all atoms from Zn at (0.000, 0.000, 0.000), P at (0.000, 0.000, 0.500) and I at (0.250, 0.250, 0.250).

The total energy comes out at -23.494 eV per atom. The size of the total moment comes out at 0.005 μB per cell. Its density is 6.3 g/cm³.

---

3.
Below is a PBEsol-optimized structure of KTi3P, with properties calculated at the meta-GGA SCAN level.

The structure belongs to space group Pm-3m (No. 221); the cell edges are 4.331, 4.331 and 4.331 Å and the angles 90.00°, 90.00° and 90.00°. Symmetry generates all atoms from K at (0.000, 0.000, 0.000), Ti at (0.000, 0.000, 0.500) and P at (0.500, 0.500, 0.500).

The calculation puts the formation energy at 2011.1 meV per atom. The size of the total moment comes out at 1.139 μB per cell. Its density is 4.4 g/cm³.

---

4.
Below is a PBEsol-optimized structure of SrTlHg2, with properties calculated at the meta-GGA SCAN level.

The structure belongs to space group Fm-3m (No. 225); the cell edges are 7.497, 7.497 and 7.497 Å and the angles 90.00°, 90.00° and 90.00°. Symmetry generates all atoms from Sr at (0.000, 0.000, 0.000), Tl at (0.000, 0.000, 0.500) and Hg at (0.250, 0.250, 0.250).

The calculation puts the formation energy at -479.7 meV per atom. The value obtained for the energy above the most stable polymorph in this dataset is 0 meV/atom. The size of the total moment comes out at 0.000 μB per cell. Its density is 10.9 g/cm³.

---

5.
Below is a PBEsol-optimized structure of TiBeS2Cl, with properties calculated at the meta-GGA SCAN level.

The structure belongs to space group P4/mmm (No. 123); the cell edges are 4.660, 4.660 and 4.636 Å and the angles 90.00°, 90.00° and 90.00°. Symmetry generates all atoms from Ti at (0.000, 0.000, 0.000), Be at (0.500, 0.500, 0.500), S at (0.000, 0.500, 0.000) and Cl at (0.000, 0.000, 0.500).

The total energy comes out at -9.791 eV per atom. The size of the total moment comes out at 1.023 μB per cell. Its density is 2.6 g/cm³.

---

6.
Below is a PBEsol-optimized structure of SrAuSeN2, with properties calculated at the meta-GGA SCAN level.

The structure belongs to space group P4/mmm (No. 123); the cell edges are 4.202, 4.202 and 5.244 Å and the angles 90.00°, 90.00° and 90.00°. Symmetry generates all atoms from Sr at (0.000, 0.000, 0.000), Au at (0.500, 0.500, 0.500), Se at (0.500, 0.500, 0.000) and N at (0.000, 0.500, 0.500).

The total energy comes out at -25.465 eV per atom. The size of the total moment comes out at 2.780 μB per cell. Its density is 7.0 g/cm³.

---

7.
Below is a PBEsol-optimized structure of LiMnF3, with properties calculated at the meta-GGA SCAN level.

The structure belongs to space group R-3c (No. 167, hexagonal axes); the cell edges are 5.3038, 5.3038 and 14.3511 Å and the angles 90.00°, 90.00° and 120.00°. Symmetry generates all atoms from Li at (0.0000, 0.0000, 0.2500), Mn at (0.0000, 0.0000, 0.0000) and F at (0.0000, 0.3454, 0.2500).

The value obtained for the energy above the most stable polymorph in this dataset is 28 meV/atom. The size of the total moment comes out at 30.000 μB per cell. Its density is 3.4 g/cm³.

---

8.
Below is a PBEsol-optimized structure of MgSbRuS2, with properties calculated at the meta-GGA SCAN level.

The structure belongs to space group P4/mmm (No. 123); the cell edges are 4.419, 4.419 and 5.716 Å and the angles 90.00°, 90.00° and 90.00°. Symmetry generates all atoms from Mg at (0.000, 0.000, 0.000), Sb at (0.500, 0.500, 0.000), Ru at (0.500, 0.500, 0.500) and S at (0.000, 0.500, 0.500).

The total energy comes out at -19.125 eV per atom. The size of the total moment comes out at 0.000 μB per cell. Its density is 4.6 g/cm³.

---

9.
Below is a PBEsol-optimized structure of ZnCoP2, with properties calculated at the meta-GGA SCAN level.

The structure belongs to space group P4mm (No. 99); the cell edges are 2.792, 2.792 and 7.132 Å and the angles 90.00°, 90.00° and 90.00°. Symmetry generates all atoms from Zn at (0.000, 0.000, 0.000), Co at (0.500, 0.500, 0.467), P at (0.000, 0.000, 0.324) and P at (0.500, 0.500, 0.774).

The calculation puts the formation energy at 13.0 meV per atom. The size of the total moment comes out at 0.728 μB per cell. Its density is 5.6 g/cm³.

---

10.
Below is a PBEsol-optimized structure of TlAu2, with properties calculated at the meta-GGA SCAN level.

The structure belongs to space group Pnma (No. 62); the cell edges are 5.814, 4.593 and 9.000 Å and the angles 90.00°, 90.00° and 90.00°. Symmetry generates all atoms from Tl at (0.098, 0.250, 0.135), Au at (0.141, 0.250, 0.492) and Au at (0.227, 0.750, 0.305).

The calculation puts the formation energy at 11.2 meV per atom. The value obtained for the energy above the most stable polymorph in this dataset is 2 meV/atom. The size of the total moment comes out at 0.000 μB per cell. Its density is 16.5 g/cm³.

---

11.
Below is a PBEsol-optimized structure of MnBeTe2, with properties calculated at the meta-GGA SCAN level.

The structure belongs to space group P4/mmm (No. 123); the cell edges are 3.358, 3.358 and 6.611 Å and the angles 90.00°, 90.00° and 90.00°. Symmetry generates all atoms from Mn at (0.000, 0.000, 0.000), Be at (0.000, 0.000, 0.500) and Te at (0.500, 0.500, 0.246).

The total energy comes out at -23.894 eV per atom. The size of the total moment comes out at 3.659 μB per cell. Its density is 7.1 g/cm³.

---

12.
Below is a PBEsol-optimized structure of Sc3CuSe, with properties calculated at the meta-GGA SCAN level.

The structure belongs to space group Pm-3m (No. 221); the cell edges are 4.891, 4.891 and 4.891 Å and the angles 90.00°, 90.00° and 90.00°. Symmetry generates all atoms from Sc at (0.000, 0.000, 0.500), Cu at (0.500, 0.500, 0.500) and Se at (0.000, 0.000, 0.000).

The total energy comes out at -15.804 eV per atom. The size of the total moment comes out at 0.000 μB per cell. Its density is 3.9 g/cm³.